{
  "formula": "MoAs2Br",
  "functional": "PBE-GGA",
  "state": "optimized geometry",
  "energy_ev_per_atom": -4.957,
  "relative_energy_ev_per_atom": 0.532,
  "lattice_angstrom": [[-1.282, 1.726, 2.290], [-1.827, -1.949, -1.652], [1.797, -7.025, 6.300]],
  "species": ["As", "As", "Br", "Mo"],
  "fractional_positions": [[0.500, 0.500, 0.216], [0.000, 0.000, 0.971], [0.000, 0.000, 0.549], [0.500, 0.500, 0.765]]
}